Record 1
Compound: LiPrTm2Cd4
Source: Alexandria
Functional: PBE-GGA
Structure: relaxed

Summary:
- Uncorrected energy: -2.663 eV/atom
- Calculated formation energy: -0.251 eV per atom

Unit cell a=5.1684 b=5.1684 c=26.1717 alpha=90.00 beta=90.00 gamma=120.00
Space group R-3m (No. 166, hexagonal axes)
Symmetry-distinct sites (fractional):
Li 0.0000 0.0000 0.0000
Pr 0.0000 0.0000 0.5000
Tm 0.0000 0.0000 0.2539
Cd 0.0000 0.0000 0.1141
Cd 0.0000 0.0000 0.3722


Record 2
Compound: VB2PC
Source: Alexandria
Functional: PBE-GGA
Structure: relaxed

Summary:
- Uncorrected energy: -5.792 eV/atom
- ΔE to the lowest computed polymorph: 0.000 eV/atom
- Calculated formation energy: 1.629 eV per atom

Unit cell a=3.796 b=3.796 c=3.585 alpha=90.00 beta=90.00 gamma=90.00
Space group P4/mmm (No. 123)
Symmetry-distinct sites (fractional):
V 0.000 0.000 0.000
B 0.000 0.500 0.500
P 0.500 0.500 0.500
C 0.500 0.500 0.000


Record 3
Compound: Pr2GdTm
Source: Alexandria
Functional: PBE-GGA
Structure: relaxed

Summary:
- Uncorrected energy: -6.930 eV/atom
- ΔE to the lowest computed polymorph: 0.084 eV/atom
- Calculated formation energy: 0.098 eV per atom

Unit cell a=8.158 b=8.158 c=8.158 alpha=90.00 beta=90.00 gamma=90.00
Space group Fm-3m (No. 225)
Symmetry-distinct sites (fractional):
Pr 0.250 0.250 0.250
Gd 0.000 0.000 0.000
Tm 0.000 0.000 0.500


Record 4
Compound: AgSn4S8
Source: Alexandria
Functional: PBE-GGA
Structure: relaxed

Summary:
- Uncorrected energy: -4.306 eV/atom
- ΔE to the lowest computed polymorph: 0.017 eV/atom
- Formation energy (no corrections): -0.32 eV/atom

Unit cell a=12.815 b=7.572 c=8.545 alpha=90.00 beta=127.10 gamma=90.00
Space group C2/m (No. 12)
Symmetry-distinct sites (fractional):
Ag 0.000 0.000 0.000
Sn 0.000 0.261 0.500
Sn 0.242 0.500 0.481
S 0.001 0.000 0.290
S 0.009 0.500 0.727
S 0.243 0.240 0.281


Record 5
Compound: TmFeRu2
Source: Alexandria
Functional: PBE-GGA
Structure: relaxed

Summary:
- Uncorrected energy: -7.896 eV/atom
- ΔE to the lowest computed polymorph: 0.000 eV/atom
- Calculated formation energy: -0.024 eV per atom

Unit cell a=3.154 b=3.154 c=6.468 alpha=90.00 beta=90.00 gamma=90.00
Space group P4/mmm (No. 123)
Symmetry-distinct sites (fractional):
Tm 0.000 0.000 0.000
Fe 0.000 0.000 0.500
Ru 0.500 0.500 0.287


Record 6
Compound: KTc2Au
Source: Alexandria
Functional: PBE-GGA
Structure: relaxed

Summary:
- Uncorrected energy: -5.852 eV/atom
- ΔE to the lowest computed polymorph: 0.000 eV/atom
- Calculated formation energy: 0.424 eV per atom

Unit cell a=3.025 b=3.025 c=8.943 alpha=90.00 beta=90.00 gamma=90.00
Space group P4mm (No. 99)
Symmetry-distinct sites (fractional):
K 0.000 0.000 0.000
Tc 0.000 0.000 0.479
Tc 0.500 0.500 0.330
Au 0.500 0.500 0.709


What is the uncorrected energy in the second record? -5.792 eV/atom


What is the uncorrected energy in the third record? -6.930 eV/atom


Which formula does entry 5 have? TmFeRu2